Entry 1:
Below is a relaxed Sr2Re6S11 crystal, with properties calculated at the GGA-PBE level.

Cell lengths 11.8461, 11.8461, 11.8461 Å; angles 45.63, 45.63, 45.63 degrees
Positions (direct):
Re  0.7122  0.3851  0.5056
Re  0.5056  0.7122  0.3851
Re  0.4944  0.2878  0.6149
Re  0.9944  0.1149  0.7878
Re  0.8851  0.2122  0.0056
Re  0.1149  0.7878  0.9944
Re  0.7878  0.9944  0.1149
Re  0.6149  0.4944  0.2878
Re  0.2878  0.6149  0.4944
Re  0.0056  0.8851  0.2122
Re  0.2122  0.0056  0.8851
Re  0.3851  0.5056  0.7122
Sr  0.1898  0.1898  0.1898
Sr  0.3102  0.3102  0.3102
Sr  0.8102  0.8102  0.8102
Sr  0.6898  0.6898  0.6898
S  0.7976  0.1949  0.4163
S  0.2024  0.8051  0.5837
S  0.7024  0.0837  0.3051
S  0.1949  0.4163  0.7976
S  0.7500  0.4953  0.0047
S  0.4953  0.0047  0.7500
S  0.3051  0.7024  0.0837
S  0.9163  0.6949  0.2976
S  0.6949  0.2976  0.9163
S  0.2500  0.5047  0.9953
S  0.5837  0.2024  0.8051
S  0.8051  0.5837  0.2024
S  0.4163  0.7976  0.1949
S  0.4074  0.4074  0.4074
S  0.9953  0.2500  0.5047
S  0.5047  0.9953  0.2500
S  0.9074  0.9074  0.9074
S  0.5926  0.5926  0.5926
S  0.0837  0.3051  0.7024
S  0.0047  0.7500  0.4953
S  0.0926  0.0926  0.0926
S  0.2976  0.9163  0.6949

Space group   No. 167
Formation energy from raw total energies   -852 meV per atom


Entry 2:
Below is a relaxed SrRe2S crystal, with properties calculated at the GGA-PBE level.

Cell lengths 4.9084, 4.9084, 8.8110 Å; angles 73.83, 73.83, 90.00 degrees
Positions (direct):
Re  0.3749  0.6250  0.2500
Re  0.3750  0.6249  0.7500
Re  0.3751  0.1250  0.2500
Re  0.8750  0.6251  0.7500
S  0.5000  0.5000  0.0000
S  0.2500  0.7500  0.5000
Sr  0.0000  0.0000  0.0000
Sr  0.7500  0.2500  0.5000

Space group   No. 141
Formation energy from raw total energies   539 meV per atom
DOS(E_F)   10.18 states/eV/cell


Entry 3:
Below is a relaxed SrRe4S8 crystal, with properties calculated at the GGA-PBE level.

Cell lengths 6.3771, 6.3771, 8.7086 Å; angles 90.00, 111.48, 120.00 degrees
Positions (direct):
Re  0.0000  0.0000  0.0000
Re  0.0000  0.5000  0.0000
Re  0.5000  0.5000  0.0000
Re  0.5000  0.0000  0.0000
S  0.4656  0.2328  0.2011
S  0.0317  0.2645  0.7989
S  0.9683  0.7355  0.2011
S  0.5344  0.7672  0.7989
S  0.9683  0.2328  0.2011
S  0.4675  0.7338  0.2013
S  0.0317  0.7672  0.7989
S  0.5325  0.2662  0.7987
Sr  0.0000  0.5000  0.5000

Space group   No. 166
Formation energy from raw total energies   -393 meV per atom
DOS(E_F)   10.09 states/eV/cell


Entry 4:
Below is a relaxed SrReTc2S crystal, with properties calculated at the GGA-PBE level.

Cell lengths 4.8329, 4.7559, 4.8329 Å; angles 90.00, 90.00, 90.00 degrees
Positions (direct):
Sr  0.5000  0.5000  0.5000
Tc  0.0000  0.0000  0.5000
Tc  0.5000  0.0000  0.0000
Re  0.0000  0.0000  0.0000
S  0.0000  0.5000  0.0000

Space group   No. 123
Formation energy from raw total energies   842 meV per atom
DOS(E_F)   4.96 states/eV/cell


Entry 5:
Below is a relaxed SrZrRe2S crystal, with properties calculated at the GGA-PBE level.

Cell lengths 4.5740, 4.8472, 4.5740 Å; angles 90.00, 90.00, 90.00 degrees
Positions (direct):
S  0.0000  0.0000  0.0000
Re  0.5000  0.0000  0.0000
Re  0.0000  0.0000  0.5000
Zr  0.0000  0.5000  0.0000
Sr  0.5000  0.5000  0.5000

Space group   No. 123
Formation energy from raw total energies   506 meV per atom
DOS(E_F)   5.83 states/eV/cell


Entry 6:
Below is a relaxed TaReS2 crystal, with properties calculated at the GGA-PBE level.

Cell lengths 4.2937, 4.2937, 4.2937 Å; angles 60.00, 60.00, 60.00 degrees
Positions (direct):
Re  0.5000  0.5000  0.5000
Ta  0.0000  0.0000  0.0000
S  0.2500  0.2500  0.2500
S  0.7500  0.7500  0.7500

Space group   No. 225
Formation energy from raw total energies   33 meV per atom
DOS(E_F)   3.42 states/eV/cell
Offset from the most stable computed form   252.4 meV per atom


Entry 7:
Below is a relaxed Ta3ReS crystal, with properties calculated at the GGA-PBE level.

Cell lengths 4.4879, 4.4879, 4.4879 Å; angles 90.00, 90.00, 90.00 degrees
Positions (direct):
Ta  0.5000  0.0000  0.0000
Ta  0.0000  0.5000  0.0000
Ta  0.0000  0.0000  0.5000
Re  0.5000  0.5000  0.5000
S  0.0000  0.0000  0.0000

Space group   No. 221
Formation energy from raw total energies   535 meV per atom
DOS(E_F)   6.82 states/eV/cell
Offset from the most stable computed form   0.0 meV per atom


Entry 8:
Below is a relaxed Ta2ReS6 crystal, with properties calculated at the GGA-PBE level.

Cell lengths 3.8425, 6.4474, 9.4632 Å; angles 63.94, 78.29, 72.66 degrees
Positions (direct):
S  0.1177  0.0969  0.6676
S  0.4014  0.5644  0.6329
S  0.3604  0.2592  0.0200
S  0.5986  0.4356  0.3671
S  0.6396  0.7408  0.9800
S  0.8823  0.9031  0.3324
Ta  0.7718  0.2891  0.1672
Ta  0.2282  0.7109  0.8328
Re  0.0000  0.5000  0.5000

Space group   No. 12
Formation energy from raw total energies   -475 meV per atom
DOS(E_F)   4.41 states/eV/cell


Entry 9:
Below is a relaxed Ta3ReS crystal, with properties calculated at the GGA-PBE level.

Cell lengths 4.8675, 4.8675, 4.8675 Å; angles 90.00, 90.00, 90.00 degrees
Positions (direct):
Ta  0.5000  0.0000  0.0000
Ta  0.0000  0.5000  0.0000
Ta  0.0000  0.0000  0.5000
S  0.5000  0.5000  0.5000
Re  0.0000  0.0000  0.0000

Space group   No. 221
Formation energy from raw total energies   1434 meV per atom
DOS(E_F)   5.35 states/eV/cell
Offset from the most stable computed form   898.9 meV per atom


Entry 10:
Below is a relaxed TaReS2 crystal, with properties calculated at the GGA-PBE level.

Cell lengths 4.3173, 4.3173, 7.9356 Å; angles 74.22, 74.22, 90.00 degrees
Positions (direct):
Ta  0.5000  0.5000  0.0000
Ta  0.2500  0.7500  0.5000
Re  0.0000  0.0000  0.0000
Re  0.7500  0.2500  0.5000
S  0.1107  0.6250  0.2500
S  0.3750  0.3607  0.7500
S  0.8750  0.8893  0.7500
S  0.6393  0.1250  0.2500

Space group   No. 122
Formation energy from raw total energies   -110 meV per atom
DOS(E_F)   4.18 states/eV/cell
Offset from the most stable computed form   108.9 meV per atom


Entry 11:
Below is a relaxed TaReS6 crystal, with properties calculated at the GGA-PBE level.

Cell lengths 5.9516, 6.1167, 6.8317 Å; angles 56.05, 54.97, 56.09 degrees
Positions (direct):
S  0.9640  0.5476  0.2442
S  0.6364  0.1351  0.8710
S  0.3636  0.8649  0.1290
S  0.6370  0.1346  0.3579
S  0.3630  0.8654  0.6421
S  0.0360  0.4524  0.7558
Re  0.0000  0.0000  0.0000
Ta  0.5000  0.5000  0.5000

Space group   No. 12
Formation energy from raw total energies   -311 meV per atom
DOS(E_F)   4.19 states/eV/cell


Entry 12:
Below is a relaxed TaRe2S crystal, with properties calculated at the GGA-PBE level.

Cell lengths 5.9800, 5.9800, 6.2082 Å; angles 61.21, 61.21, 90.00 degrees
Positions (direct):
S  0.2500  0.7500  0.5000
S  0.5000  0.5000  0.0000
Re  0.1741  0.6250  0.2500
Re  0.3750  0.4241  0.7500
Re  0.5759  0.1250  0.2500
Re  0.8750  0.8259  0.7500
Ta  0.7500  0.2500  0.5000
Ta  0.0000  0.0000  0.0000

Space group   No. 122
Formation energy from raw total energies   989 meV per atom
DOS(E_F)   4.52 states/eV/cell


Look up the formation energy from raw total energies of the tenth one. -110 meV per atom